(1)
DFT (PBE-GGA) results for a relaxed structure of Pm3PuSn12.

As for the symmetry: P4/mmm. The crystal system is tetragonal. The calculation puts the formation energy from the elements at -0.46 eV/atom.

Lattice parameters (Å, degrees): 4.733 4.733 18.925 90.00 90.00 90.00
Sites, in units of the cell vectors:
Pm1 0.000 0.000 0.246
Pm2 0.000 0.000 0.500
Pm3 0.000 0.000 0.754
Pu1 0.000 0.000 0.000
Sn1 0.500 0.500 0.000
Sn2 0.500 0.500 0.247
Sn3 0.500 0.500 0.500
Sn4 0.500 0.500 0.753
Sn5 0.500 0.000 0.121
Sn6 0.500 0.000 0.373
Sn7 0.500 0.000 0.627
Sn8 0.500 0.000 0.879
Sn9 0.000 0.500 0.121
Sn10 0.000 0.500 0.373
Sn11 0.000 0.500 0.627
Sn12 0.000 0.500 0.879


(2)
DFT (PBE-GGA) results for a relaxed structure of K3ZrC.

As for the symmetry: Pm-3m. The crystal system is cubic. The calculation puts the formation energy from the elements at 2.24 eV/atom. The excess energy over the best structure of this formula in the dataset is 517.1 meV per atom.

Lattice parameters (Å, degrees): 6.812 6.812 6.812 90.00 90.00 90.00
Sites, in units of the cell vectors:
K1 0.000 0.500 0.000
K2 0.000 0.000 0.500
K3 0.500 0.000 0.000
C1 0.500 0.500 0.500
Zr1 0.000 0.000 0.000


(3)
DFT (PBE-GGA) results for a relaxed structure of Sm4Te2Se3.

As for the symmetry: Cmce. The crystal system is orthorhombic. The formation energy from raw total energies comes out at -156.21 kJ/mol of atoms.

Lattice parameters (Å, degrees): 8.067 7.769 8.948 90.00 116.79 90.00
Sites, in units of the cell vectors:
Sm1 0.721 0.750 0.943
Sm2 0.779 0.250 0.057
Sm3 0.279 0.250 0.057
Sm4 0.221 0.750 0.943
Sm5 0.197 0.961 0.393
Sm6 0.803 0.039 0.607
Sm7 0.303 0.461 0.607
Sm8 0.697 0.539 0.393
Te1 0.106 0.576 0.212
Te2 0.894 0.424 0.788
Te3 0.394 0.076 0.788
Te4 0.606 0.924 0.212
Se1 0.000 0.000 0.000
Se2 0.500 0.500 0.000
Se3 0.539 0.750 0.578
Se4 0.961 0.250 0.422
Se5 0.461 0.250 0.422
Se6 0.039 0.750 0.578


(4)
DFT (PBE-GGA) results for a relaxed structure of La3Pr8Sm4.

As for the symmetry: C2/m. The crystal system is monoclinic. The calculation puts the formation energy from the elements at 0.29 eV/atom.

Lattice parameters (Å, degrees): 7.032 9.470 9.470 82.08 111.76 111.76
Sites, in units of the cell vectors:
La1 0.500 0.500 0.000
La2 0.500 0.000 0.500
La3 0.500 0.500 0.500
Pr1 0.794 0.295 0.295
Pr2 0.000 0.705 0.295
Pr3 0.241 0.248 0.248
Pr4 0.500 0.752 0.248
Pr5 0.500 0.248 0.752
Pr6 0.759 0.752 0.752
Pr7 0.000 0.295 0.705
Pr8 0.206 0.705 0.705
Sm1 0.500 0.000 0.000
Sm2 0.000 0.500 0.000
Sm3 0.000 0.000 0.000
Sm4 0.000 0.000 0.500


(5)
DFT (PBE-GGA) results for a relaxed structure of Tb2ScZn12Cu3.

As for the symmetry: R-3m. The crystal system is trigonal. The calculation puts the formation energy from the elements at 0.14 eV/atom.

Lattice parameters (Å, degrees): 8.346 8.346 8.346 53.92 53.92 53.92
Sites, in units of the cell vectors:
Tb1 0.592 0.592 0.592
Tb2 0.408 0.408 0.408
Sc1 0.000 0.000 0.000
Zn1 0.227 0.227 0.860
Zn2 0.834 0.834 0.474
Zn3 0.474 0.834 0.834
Zn4 0.860 0.227 0.227
Zn5 0.834 0.474 0.834
Zn6 0.227 0.860 0.227
Zn7 0.773 0.773 0.140
Zn8 0.166 0.166 0.526
Zn9 0.526 0.166 0.166
Zn10 0.140 0.773 0.773
Zn11 0.166 0.526 0.166
Zn12 0.773 0.140 0.773
Cu1 0.500 0.000 0.000
Cu2 0.000 0.500 0.000
Cu3 0.000 0.000 0.500


(6)
DFT (PBE-GGA) results for a relaxed structure of Ac2CuSn3Pd4.

As for the symmetry: P-4m2. The crystal system is tetragonal. The calculation puts the formation energy from the elements at -0.72 eV/atom.

Lattice parameters (Å, degrees): 4.678 4.678 10.573 90.00 90.00 90.00
Sites, in units of the cell vectors:
Ac1 0.500 0.000 0.257
Ac2 0.000 0.500 0.743
Cu1 0.500 0.500 0.500
Sn1 0.000 0.000 0.500
Sn2 0.500 0.000 0.873
Sn3 0.000 0.500 0.127
Pd1 0.500 0.500 0.000
Pd2 0.000 0.000 0.000
Pd3 0.500 0.000 0.622
Pd4 0.000 0.500 0.378


The following E values (in eV/atom) correspond, in order, to the records above: -5.2513, -1.9726, -5.5761, -4.5032, -2.2624, -5.2293.